ZnAsPbF | OQMD | PBE-GGA | optimized geometry; mass density = 7.9 g/cm³; E_tot = -3.53 eV per atom; ΔE to the lowest computed polymorph = 0.285 eV/atom; SG = P4/nmm (129)
1.0
-3.471 1.318 0.436
-1.383 -3.381 -0.794
0.339 -2.664 10.757
As F Pb Zn
2 2 2 2
direct
0.000 0.500 0.454
0.500 0.000 0.546
0.000 0.000 0.000
0.500 0.500 0.000
0.000 0.500 0.152
0.500 0.000 0.848
0.500 0.000 0.314
0.000 0.500 0.686